Entry 1:
VASP calculation (GGA-PBE) on crystalline DyY3HoTm at its relaxed geometry.

a = 7.933 Å, b = 7.933 Å, c = 10.018 Å
α = 90.00°, β = 90.00°, γ = 143.18°
Positions (direct):
Dy  0.001  0.999  0.750
Dy  0.999  0.001  0.250
Y  0.166  0.834  0.000
Y  0.166  0.834  0.500
Y  0.333  0.667  0.750
Y  0.667  0.333  0.250
Y  0.834  0.166  0.000
Y  0.834  0.166  0.500
Ho  0.500  0.500  0.000
Ho  0.500  0.500  0.500
Tm  0.334  0.666  0.250
Tm  0.666  0.334  0.750

Output
Uncorrected energy (eV per atom): -5.483

***

Entry 2:
VASP calculation (GGA-PBE) on crystalline DyY3Ho6Tm2 at its relaxed geometry.

a = 6.112 Å, b = 6.112 Å, c = 11.708 Å
α = 94.98°, β = 94.98°, γ = 119.93°
Positions (direct):
Dy  0.000  0.000  0.000
Y  0.167  0.833  0.500
Y  0.500  0.500  0.500
Y  0.833  0.167  0.500
Ho  0.083  0.417  0.248
Ho  0.251  0.251  0.752
Ho  0.417  0.083  0.248
Ho  0.583  0.917  0.752
Ho  0.749  0.749  0.248
Ho  0.917  0.583  0.752
Tm  0.333  0.667  0.000
Tm  0.667  0.333  0.000

Output
Uncorrected energy (eV per atom): -5.011

***

Entry 3:
VASP calculation (GGA-PBE) on crystalline Dy6Y3HoTm2 at its relaxed geometry.

a = 6.127 Å, b = 6.127 Å, c = 11.723 Å
α = 94.98°, β = 94.98°, γ = 119.94°
Positions (direct):
Dy  0.084  0.417  0.752
Dy  0.249  0.249  0.248
Dy  0.417  0.084  0.752
Dy  0.583  0.916  0.248
Dy  0.751  0.751  0.752
Dy  0.916  0.583  0.248
Y  0.000  0.000  0.500
Y  0.333  0.667  0.500
Y  0.667  0.333  0.500
Ho  0.500  0.500  0.000
Tm  0.167  0.833  0.000
Tm  0.833  0.167  0.000

Output
Uncorrected energy (eV per atom): -5.023

***

Entry 4:
VASP calculation (GGA-PBE) on crystalline Dy2YHoTm2 at its relaxed geometry.

a = 6.973 Å, b = 9.598 Å, c = 5.568 Å
α = 90.00°, β = 90.00°, γ = 90.00°
Positions (direct):
Dy  0.250  0.167  0.000
Dy  0.250  0.667  0.500
Dy  0.750  0.333  0.500
Dy  0.750  0.833  0.000
Y  0.000  0.000  0.500
Y  0.500  0.500  0.000
Ho  0.000  0.500  0.000
Ho  0.500  0.000  0.500
Tm  0.250  0.333  0.500
Tm  0.250  0.833  0.000
Tm  0.750  0.167  0.000
Tm  0.750  0.667  0.500

Output
Uncorrected energy (eV per atom): -4.791

***

Entry 5:
VASP calculation (GGA-PBE) on crystalline Dy2Y2HoTm4 at its relaxed geometry.

a = 9.399 Å, b = 9.399 Å, c = 9.437 Å
α = 115.29°, β = 115.29°, γ = 21.78°
Positions (direct):
Dy  0.166  0.166  0.002
Dy  0.834  0.834  0.998
Y  0.353  0.353  0.335
Y  0.647  0.647  0.665
Ho  0.500  0.500  0.000
Tm  0.019  0.019  0.333
Tm  0.315  0.315  0.665
Tm  0.685  0.685  0.335
Tm  0.981  0.981  0.667

Output
Uncorrected energy (eV per atom): -4.956

***

Entry 6:
VASP calculation (GGA-PBE) on crystalline Dy2Y6Ho3Tm at its relaxed geometry.

a = 6.140 Å, b = 6.140 Å, c = 11.765 Å
α = 94.97°, β = 94.97°, γ = 119.94°
Positions (direct):
Dy  0.167  0.833  0.000
Dy  0.833  0.167  0.000
Y  0.084  0.417  0.750
Y  0.250  0.250  0.250
Y  0.417  0.084  0.750
Y  0.583  0.916  0.250
Y  0.750  0.750  0.750
Y  0.916  0.583  0.250
Ho  0.000  0.000  0.500
Ho  0.333  0.667  0.500
Ho  0.667  0.333  0.500
Tm  0.500  0.500  0.000

Output
Uncorrected energy (eV per atom): -5.493

***

Number 1: calculated formation energy 0.025 eV/atom. Number 2: calculated formation energy 0.023 eV/atom. Number 3: calculated formation energy 0.021 eV/atom. Number 4: calculated formation energy 0.074 eV/atom. Number 5: calculated formation energy 0.000 eV/atom. Number 6: calculated formation energy 0.024 eV/atom.